Entry from the Alexandria database: an optimized crystal structure of ZnW3 (GGA-PBE).

Results
Its magnetization is 0.0 μB/f.u. The calculation puts the volume at 63 Å³ per cell. The calculation puts the energy relative to the elements at 357 meV/atom. The value obtained for the distance to the lowest polymorph of the same formula is 206.9 meV per atom.

a = 2.6875 Å, b = 2.6875 Å, c = 8.7793 Å
α = 90.00°, β = 90.00°, γ = 90.00°
Last column: nearest neighbours and their distance in Å.
Fractional positions:
Zn1 0.0000 0.0000 0.0000  4 Zn 2.69, 8 W 2.83
W1 0.0000 0.0000 0.5000  12 W 2.69-2.98
W2 0.5000 0.5000 0.2383  8 W 2.69-2.98, 4 Zn 2.83
W3 0.5000 0.5000 0.7617  8 W 2.69-2.98, 4 Zn 2.83

Entry from the Alexandria database: an optimized crystal structure of Tb2Zn3Pt (GGA-PBE).

Results
Its magnetization is 0.0 μB/f.u. The calculation puts the volume at 123 Å³ per cell. The calculation puts the energy relative to the elements at -646 meV/atom. The value obtained for the distance to the lowest polymorph of the same formula is 0.0 meV per atom.

a = 3.6068 Å, b = 4.4409 Å, c = 7.6835 Å
α = 90.00°, β = 90.00°, γ = 90.00°
Last column: nearest neighbours and their distance in Å.
Fractional positions:
Tb1 0.0000 0.0000 0.0000  2 Pt 3.00, 10 Zn 3.04-3.23
Tb2 0.0000 0.5000 0.4570  4 Pt 3.07, 8 Zn 3.07-3.23
Zn1 0.5000 0.0000 0.6525  2 Zn 2.51, 1 Pt 2.61
Zn2 0.5000 0.5000 0.1334  1 Zn 2.52, 2 Pt 2.61
Zn3 0.5000 0.5000 0.8061  3 Zn 2.51-2.52
Pt1 0.5000 0.0000 0.3123  3 Zn 2.61

Entry from the Alexandria database: an optimized crystal structure of CeMg2GeAu4 (GGA-PBE).

Results
Its magnetization is 0.9 μB/f.u. The calculation puts the volume at 166 Å³ per cell. The calculation puts the energy relative to the elements at -461 meV/atom.

a = 9.6308 Å, b = 9.6308 Å, c = 9.6308 Å
α = 27.30°, β = 27.30°, γ = 27.30°
Last column: nearest neighbours and their distance in Å.
Fractional positions:
Ce1 0.0000 0.0000 0.0000  6 Au 3.09
Mg1 0.2393 0.2393 0.2393  6 Au 2.76-2.80
Mg2 0.7607 0.7607 0.7607  6 Au 2.76-2.80
Ge1 0.5000 0.5000 0.5000  8 Au 2.87-2.99
Au1 0.1249 0.1249 0.1249  3 Mg 2.76, 3 Ge 2.87
Au2 0.3924 0.3924 0.3924  3 Mg 2.80, 1 Ge 2.99, 3 Ce 3.09
Au3 0.6076 0.6076 0.6076  3 Mg 2.80, 1 Ge 2.99, 3 Ce 3.09
Au4 0.8751 0.8751 0.8751  3 Mg 2.76, 3 Ge 2.87